[1]
Ag2Br PBE optimized geometry; SG = C2/m, No. 12; total DFT energy (no corrections) = -2.34 eV per atom; formation energy (no corrections) = 0.12 eV/atom; volume = 25.0 Å³ per atom; relative energy among the computed polymorphs = 276 meV per atom; N(E_F) = 0.50 states/eV/f.u.
1.0
3.410 -3.311 0.000
3.410 3.311 0.000
-0.884 0.000 3.317
Ag Br
2 1
Cartesian
0.831 0.000 1.106
5.105 0.000 2.211
3.410 0.000 0.000

[2]
V2TcP PBE optimized geometry; SG = P4/mmm, No. 123; total DFT energy (no corrections) = -8.92 eV per atom; volume = 13.2 Å³ per atom; formation energy from the elements = -1.65 eV per formula unit; N(E_F) = 3.38 states/eV/f.u.
1.0
3.153 0.000 0.000
0.000 3.153 0.000
0.000 0.000 5.292
V Tc P
2 1 1
Cartesian
0.000 0.000 1.206
0.000 0.000 4.086
1.577 1.577 2.646
1.577 1.577 0.000

[3]
Sr2AlCO3F5 PBE optimized geometry; SG = P2_1/c, No. 14; total DFT energy (no corrections) = -6.54 eV per atom; formation energy (no corrections) = -3.16 eV/atom; volume = 13.4 Å³ per atom; relative energy among the computed polymorphs = 0 meV per atom; N(E_F) = 0.00 states/eV/f.u.
1.0
5.511 0.000 0.000
0.000 8.860 0.000
-3.612 0.000 13.182
Sr Al C O F
8 4 4 12 20
Cartesian
-0.401 0.964 5.288
-2.207 3.466 11.879
-0.415 5.681 5.430
-2.221 7.609 12.021
4.120 1.251 1.161
2.314 3.179 7.752
4.105 5.394 1.303
2.299 7.897 7.893
-0.746 5.558 8.833
1.060 7.732 2.242
0.838 1.128 10.940
2.644 3.302 4.349
-0.504 1.100 8.402
1.302 3.330 1.811
0.596 5.530 11.371
2.402 7.760 4.780
-1.621 1.072 7.728
0.185 3.359 1.138
-0.551 1.132 9.694
1.255 3.298 3.104
0.618 1.094 7.748
2.425 3.337 1.157
-0.526 5.524 12.025
1.280 7.767 5.434
0.643 5.562 10.078
2.450 7.729 3.487
1.713 5.502 12.044
3.519 7.789 5.453
-3.313 1.140 12.264
-1.507 3.290 5.673
0.091 6.444 3.085
-1.715 6.846 9.676
0.134 0.244 2.980
-1.672 4.186 9.571
1.858 6.429 1.220
0.052 6.862 7.811
1.963 0.065 1.182
0.157 4.365 7.773
1.742 4.495 5.409
-0.064 8.795 12.000
1.847 1.999 5.371
0.041 2.431 11.962
3.571 4.674 3.611
1.765 8.617 10.201
3.614 2.014 3.505
1.808 2.416 10.096
3.405 5.570 7.509
5.212 7.720 0.918